Record 1
The following is a DFT calculation (PBE) of a relaxed CsLa3Cr crystal.

Values from the calculation:
Space group   No. 221
Energy of formation   254 kJ/mol of formula units
Energy   -4.52 eV per atom
Energy relative to the lowest polymorph listed for this composition   0.0000 eV/atom
Mass density   5.2 Mg/m³

Cell and atoms, written as POSCAR:
```
CsLa3Cr
1.0
-1.4041 -5.5881 -0.3624
5.0807 -1.1142 -2.5048
2.3545 -0.9282 5.1888
La Cr Cs
3 1 1
Cartesian
1.1773 -0.4641 2.5944
-0.7021 -2.7940 -0.1812
2.5404 -0.5571 -1.2524
0.0000 0.0000 0.0000
3.0156 -3.8152 1.1608
```

=====

Record 2
The following is a DFT calculation (PBE) of a relaxed MnSbP crystal.

Values from the calculation:
Uncorrected formation energy   0.07 eV/atom
Space group   No. 187
Energy   -6.16 eV per atom
Energy relative to the lowest polymorph listed for this composition   0.2269 eV/atom
Mass density   6.2 Mg/m³

Cell and atoms, written as POSCAR:
```
MnSbP
1.0
2.0245 -3.5065 0.0000
2.0245 3.5065 0.0000
0.0000 0.0000 3.9053
P Sb Mn
1 1 1
Cartesian
2.0245 1.1688 0.0000
2.0245 -1.1688 1.9527
0.0000 0.0000 0.0000
```